Here is NpMnNi10 after structural relaxation from the Alexandria database. Energies are from PBE-GGA.

Cell: 3.9903 4.7316 8.2152 Å, 90.00 90.00 90.00°
Closest atoms and distances in Å follow each position.
Fractional coordinates of all 12 atoms:
Ni: 0.0000 0.0000 0.6602  7 Ni 2.39-2.63
Ni: 0.5000 0.0000 0.5000  8 Ni 2.35-2.39
Ni: 0.5000 0.2502 0.2530  8 Ni 2.35-2.43
Ni: 0.5000 0.5000 0.0000  8 Ni 2.39-2.47
Ni: 0.5000 0.7498 0.2530  8 Ni 2.35-2.43
Ni: 0.0000 0.5000 0.8226  6 Ni 2.40-2.47, 1 Mn 2.65
Ni: 0.0000 0.0000 0.3398  7 Ni 2.39-2.63
Ni: 0.0000 0.5000 0.1774  6 Ni 2.40-2.47, 1 Mn 2.65
Ni: 0.5000 0.7498 0.7470  8 Ni 2.35-2.43
Ni: 0.5000 0.2502 0.7470  8 Ni 2.35-2.43
Np: 0.0000 0.0000 0.0000  10 Ni 2.78-3.09
Mn: 0.0000 0.5000 0.5000  6 Ni 2.65-2.71

Values from the calculation:
The magnetic moment is 9.866 μB per formula unit. Its total energy is -6.6343 eV per atom. As for the symmetry: Pmmm, No. 47. The formation energy comes out at 0.026 eV per atom.